Li5Cd3: optimized geometry, PBE.

CIF file:
```
data_Li5Cd3
_cell_length_a 6.8282
_cell_length_b 9.2047
_cell_length_c 4.6256
_cell_angle_alpha 90.00
_cell_angle_beta 90.00
_cell_angle_gamma 90.00
_space_group_name_H-M_alt 'C m m m'
_space_group_IT_number 65
_space_group_name_Hall '-C 2 2'
loop_
_atom_site_label
_atom_site_fract_x
_atom_site_fract_y
_atom_site_fract_z
Li1 0.0000 0.0000 0.0000
Li2 0.2493 0.0000 0.5000
Li3 0.2500 0.2500 0.0000
Cd1 0.0000 0.2507 0.5000
Cd2 0.0000 0.5000 0.0000
```

Calculated values
- final energy (eV/atom) = -1.758
- ΔE to the lowest computed polymorph (eV per atom) = 0.000
- DFT formation energy (eV per atom) = -0.218